First-principles (PBE) data for a relaxed structure of TmSc2Ni4Ge4, as listed in the Open Quantum Materials Database.

a = 7.579 Å, b = 7.579 Å, c = 7.579 Å
α = 149.91°, β = 127.45°, γ = 61.75°
Atoms (fractional coordinates):
Ge  0.222  0.222  0.000
Ge  0.778  0.778  0.000
Ge  0.689  0.500  0.189
Ge  0.311  0.500  0.811
Ni  0.627  0.323  0.304
Ni  0.981  0.677  0.304
Ni  0.019  0.323  0.696
Ni  0.373  0.677  0.696
Sc  0.626  0.126  0.500
Sc  0.374  0.874  0.500
Tm  0.000  0.000  0.000

Computed properties:
Total energy: -6.02 eV/atom